Below is a relaxed V3HgN crystal, with properties calculated at the GGA-PBE level.

calculated total energy	-23.1	eV per cell
formation energy without anion corrections	2.58	eV/atom

Unit cell a=5.035 b=5.035 c=5.035 alpha=90.00 beta=90.00 gamma=90.00
Last column: magnetic moment on the atom in μB.
Fractional coordinates of all 5 atoms:
Hg1 0.000 0.000 0.000  0.03
V1 0.000 0.000 0.500  2.48
V2 0.500 0.000 0.000  2.48
V3 0.000 0.500 0.000  2.48
N1 0.500 0.500 0.500  -1.27

Below is a relaxed VHg3N crystal, with properties calculated at the GGA-PBE level.

calculated total energy	-11.0	eV per cell
formation energy without anion corrections	1.46	eV/atom

Unit cell a=5.508 b=5.508 c=5.508 alpha=90.00 beta=90.00 gamma=90.00
Last column: magnetic moment on the atom in μB.
Fractional coordinates of all 5 atoms:
V1 0.000 0.000 0.000  2.98
Hg1 0.000 0.500 0.000  0.08
Hg2 0.000 0.000 0.500  0.08
Hg3 0.500 0.000 0.000  0.08
N1 0.500 0.500 0.500  1.79

Below is a relaxed VHg2N crystal, with properties calculated at the GGA-PBE level.

calculated total energy	-32.9	eV per cell
formation energy without anion corrections	0.40	eV/atom

Unit cell a=9.497 b=9.497 c=6.970 alpha=47.05 beta=47.05 gamma=90.00
Last column: magnetic moment on the atom in μB.
Fractional coordinates of all 8 atoms:
Hg1 0.875 0.751 0.750  0.02
Hg2 0.501 0.125 0.250  0.02
Hg3 0.375 0.499 0.750  0.02
Hg4 0.249 0.625 0.250  0.02
V1 0.000 0.000 0.000  1.97
V2 0.750 0.250 0.500  1.97
N1 0.500 0.500 0.000  -0.16
N2 0.250 0.750 0.500  -0.16

Below is a relaxed Zr2VHgN crystal, with properties calculated at the GGA-PBE level.

calculated total energy	-38.4	eV per cell
formation energy without anion corrections	-0.72	eV/atom

Unit cell a=4.620 b=4.620 c=3.898 alpha=90.00 beta=90.00 gamma=90.00
Fractional coordinates of all 5 atoms:
V1 0.000 0.000 0.500
N1 0.000 0.000 0.000
Hg1 0.500 0.500 0.500
Zr1 0.500 0.000 0.000
Zr2 0.000 0.500 0.000

Below is a relaxed HgWN2 crystal, with properties calculated at the GGA-PBE level.

calculated total energy	-61.0	eV per cell
formation energy without anion corrections	-0.14	eV/atom

Unit cell a=6.102 b=6.102 c=6.104 alpha=60.01 beta=60.01 gamma=90.00
Fractional coordinates of all 8 atoms:
W1 0.250 0.750 0.500
W2 0.500 0.500 0.000
Hg1 0.000 0.000 0.000
Hg2 0.750 0.250 0.500
N1 0.875 0.626 0.750
N2 0.374 0.625 0.250
N3 0.376 0.125 0.250
N4 0.375 0.624 0.750

Below is a relaxed HgWN3 crystal, with properties calculated at the GGA-PBE level.

calculated total energy	-34.5	eV per cell
formation energy without anion corrections	0.75	eV/atom

Unit cell a=4.006 b=4.006 c=4.006 alpha=90.00 beta=90.00 gamma=90.00
Fractional coordinates of all 5 atoms:
N1 0.000 0.000 0.500
N2 0.500 0.000 0.000
N3 0.000 0.500 0.000
W1 0.000 0.000 0.000
Hg1 0.500 0.500 0.500

Below is a relaxed HgWN3 crystal, with properties calculated at the GGA-PBE level.

calculated total energy	-23.0	eV per cell
formation energy without anion corrections	3.05	eV/atom

Unit cell a=4.023 b=4.023 c=4.023 alpha=90.00 beta=90.00 gamma=90.00
Fractional coordinates of all 5 atoms:
W1 0.500 0.500 0.500
N1 0.000 0.000 0.500
N2 0.000 0.500 0.000
N3 0.500 0.000 0.000
Hg1 0.000 0.000 0.000

Below is a relaxed HgWN2 crystal, with properties calculated at the GGA-PBE level.

calculated total energy	-29.6	eV per cell
formation energy without anion corrections	0.07	eV/atom

Unit cell a=7.746 b=7.746 c=7.746 alpha=22.46 beta=22.46 gamma=22.46
Fractional coordinates of all 4 atoms:
Hg1 0.000 0.000 0.000
N1 0.882 0.882 0.882
N2 0.118 0.118 0.118
W1 0.500 0.500 0.500

Please write out number 8 again, unchanged.
Below is a relaxed HgWN2 crystal, with properties calculated at the GGA-PBE level.

calculated total energy	-29.6	eV per cell
formation energy without anion corrections	0.07	eV/atom

Unit cell a=7.746 b=7.746 c=7.746 alpha=22.46 beta=22.46 gamma=22.46
Fractional coordinates of all 4 atoms:
Hg1 0.000 0.000 0.000
N1 0.882 0.882 0.882
N2 0.118 0.118 0.118
W1 0.500 0.500 0.500

Question: Look up the formation energy without anion corrections of the eighth one.
Answer: 0.07 eV/atom